#one
Here is an optimized crystal structure of NaLiPr from OQMD. Energies are from PBE-GGA.

## Properties
Space group   F-43m

abc: 5.1715 5.1715 5.1715
angles: 60.00 60.00 60.00
Positions (direct):
Li: 0.0000 0.0000 0.0000
Na: 0.2500 0.2500 0.2500
Pr: 0.7500 0.7500 0.7500

#two
Here is an optimized crystal structure of NaLiPr from OQMD. Energies are from PBE-GGA.

## Properties
Space group   F-43m

abc: 5.3706 5.3706 5.3706
angles: 60.00 60.00 60.00
Positions (direct):
Li: 0.2500 0.2500 0.2500
Na: 0.7500 0.7500 0.7500
Pr: 0.0000 0.0000 0.0000

Of them, #two has the lowest stability.

#one
Here is an optimized crystal structure of NaLiZrS3 from OQMD. Energies are from PBE-GGA.

## Properties
Space group   Cmcm

abc: 6.7141 6.7141 9.9353
angles: 90.00 90.00 147.47
Positions (direct):
Li: 0.0320 0.9680 0.2500
Li: 0.9680 0.0320 0.7500
Na: 0.7567 0.2433 0.2500
Na: 0.2433 0.7567 0.7500
S: 0.1302 0.8698 0.0557
S: 0.4282 0.5718 0.2500
S: 0.1302 0.8698 0.4443
S: 0.8698 0.1302 0.5557
S: 0.5718 0.4282 0.7500
S: 0.8698 0.1302 0.9443
Zr: 0.5000 0.5000 0.0000
Zr: 0.5000 0.5000 0.5000

#two
Here is an optimized crystal structure of NaLiZrS3 from OQMD. Energies are from PBE-GGA.

## Properties
Space group   P2_1/m

abc: 7.4787 3.7733 9.1513
angles: 90.00 105.94 90.00
Positions (direct):
Li: 0.9224 0.7500 0.4082
Li: 0.0776 0.2500 0.5918
Na: 0.2702 0.2500 0.3108
Na: 0.7298 0.7500 0.6892
S: 0.4334 0.7500 0.1412
S: 0.9120 0.7500 0.1505
S: 0.7514 0.2500 0.4461
S: 0.2486 0.7500 0.5539
S: 0.0880 0.2500 0.8495
S: 0.5666 0.2500 0.8588
Zr: 0.6870 0.2500 0.1590
Zr: 0.3130 0.7500 0.8410

Of them, #one has the lowest stability.

#one
Here is an optimized crystal structure of NaLiSm from OQMD. Energies are from PBE-GGA.

## Properties
Space group   F-43m

abc: 5.3113 5.3113 5.3113
angles: 60.00 60.00 60.00
Positions (direct):
Li: 0.2500 0.2500 0.2500
Na: 0.7500 0.7500 0.7500
Sm: 0.0000 0.0000 0.0000

#two
Here is an optimized crystal structure of NaLiSm from OQMD. Energies are from PBE-GGA.

## Properties
Space group   F-43m

abc: 5.1147 5.1147 5.1147
angles: 60.00 60.00 60.00
Positions (direct):
Li: 0.0000 0.0000 0.0000
Na: 0.2500 0.2500 0.2500
Sm: 0.7500 0.7500 0.7500

Of them, #one has the lowest stability.

#one
Here is an optimized crystal structure of NaLiTa from OQMD. Energies are from PBE-GGA.

## Properties
Space group   P-62m

abc: 8.8700 8.8700 2.6074
angles: 90.00 90.00 120.00
Positions (direct):
Li: 0.0000 0.0000 0.0000
Li: 0.6667 0.3333 0.0000
Li: 0.3333 0.6667 0.0000
Na: 0.3206 0.0000 0.0000
Na: 0.0000 0.3206 0.0000
Na: 0.6794 0.6794 0.0000
Ta: 0.6527 0.0000 0.5000
Ta: 0.3473 0.3473 0.5000
Ta: 0.0000 0.6527 0.5000

#two
Here is an optimized crystal structure of NaLiTa from OQMD. Energies are from PBE-GGA.

## Properties
Space group   F-43m

abc: 4.4879 4.4879 4.4879
angles: 60.00 60.00 60.00
Positions (direct):
Li: 0.0000 0.0000 0.0000
Na: 0.2500 0.2500 0.2500
Ta: 0.7500 0.7500 0.7500

Of them, #two has the lowest stability.

#one
Here is an optimized crystal structure of LiNbNiPb from OQMD. Energies are from PBE-GGA.

## Properties
Space group   F-43m

abc: 4.5917 4.5917 4.5917
angles: 60.00 60.00 60.00
Positions (direct):
Li: 0.5000 0.5000 0.5000
Nb: 0.2500 0.2500 0.2500
Ni: 0.7500 0.7500 0.7500
Pb: 0.0000 0.0000 0.0000

#two
Here is an optimized crystal structure of LiNbNiPb from OQMD. Energies are from PBE-GGA.

## Properties
Space group   F-43m

abc: 4.4800 4.4800 4.4800
angles: 60.00 60.00 60.00
Positions (direct):
Li: 0.2500 0.2500 0.2500
Nb: 0.5000 0.5000 0.5000
Ni: 0.7500 0.7500 0.7500
Pb: 0.0000 0.0000 0.0000

Of them, #one has the lowest stability.

#one
Here is an optimized crystal structure of LiNbSiNi from OQMD. Energies are from PBE-GGA.

## Properties
Space group   F-43m

abc: 4.1918 4.1918 4.1918
angles: 60.00 60.00 60.00
Positions (direct):
Li: 0.5000 0.5000 0.5000
Nb: 0.2500 0.2500 0.2500
Ni: 0.7500 0.7500 0.7500
Si: 0.0000 0.0000 0.0000

#two
Here is an optimized crystal structure of LiNbSiNi from OQMD. Energies are from PBE-GGA.

## Properties
Space group   F-43m

abc: 4.1752 4.1752 4.1752
angles: 60.00 60.00 60.00
Positions (direct):
Li: 0.2500 0.2500 0.2500
Nb: 0.5000 0.5000 0.5000
Ni: 0.7500 0.7500 0.7500
Si: 0.0000 0.0000 0.0000

Of them, #two has the lowest stability.

#one
Here is an optimized crystal structure of LiNbTlNi from OQMD. Energies are from PBE-GGA.

## Properties
Space group   F-43m

abc: 4.4276 4.4276 4.4276
angles: 60.00 60.00 60.00
Positions (direct):
Li: 0.2500 0.2500 0.2500
Nb: 0.5000 0.5000 0.5000
Ni: 0.7500 0.7500 0.7500
Tl: 0.0000 0.0000 0.0000

#two
Here is an optimized crystal structure of LiNbTlNi from OQMD. Energies are from PBE-GGA.

## Properties
Space group   F-43m

abc: 4.5245 4.5245 4.5245
angles: 60.00 60.00 60.00
Positions (direct):
Li: 0.5000 0.5000 0.5000
Nb: 0.2500 0.2500 0.2500
Ni: 0.7500 0.7500 0.7500
Tl: 0.0000 0.0000 0.0000

Of them, #two has the lowest stability.

#one
Here is an optimized crystal structure of LiNbZnNi from OQMD. Energies are from PBE-GGA.

## Properties
Space group   F-43m

abc: 4.2343 4.2343 4.2343
angles: 60.00 60.00 60.00
Positions (direct):
Li: 0.5000 0.5000 0.5000
Nb: 0.2500 0.2500 0.2500
Ni: 0.7500 0.7500 0.7500
Zn: 0.0000 0.0000 0.0000

#two
Here is an optimized crystal structure of LiNbZnNi from OQMD. Energies are from PBE-GGA.

## Properties
Space group   F-43m

abc: 4.2716 4.2716 4.2716
angles: 60.00 60.00 60.00
Positions (direct):
Li: 0.7500 0.7500 0.7500
Nb: 0.2500 0.2500 0.2500
Ni: 0.5000 0.5000 0.5000
Zn: 0.0000 0.0000 0.0000

#three
Here is an optimized crystal structure of LiNbZnNi from OQMD. Energies are from PBE-GGA.

## Properties
Space group   F-43m

abc: 4.2075 4.2075 4.2075
angles: 60.00 60.00 60.00
Positions (direct):
Li: 0.7500 0.7500 0.7500
Nb: 0.5000 0.5000 0.5000
Ni: 0.2500 0.2500 0.2500
Zn: 0.0000 0.0000 0.0000

Of them, #one has the lowest stability.

#one
Here is an optimized crystal structure of Li3NbO4 from OQMD. Energies are from PBE-GGA.

## Properties
Space group   C2/m

abc: 5.1010 5.1010 5.0849
angles: 101.23 101.23 34.81
Positions (direct):
Li: 0.2512 0.2512 0.2840
Li: 0.0000 0.0000 0.5000
Li: 0.7488 0.7488 0.7160
Nb: 0.5000 0.5000 0.0000
O: 0.8835 0.8835 0.1125
O: 0.6200 0.6200 0.3583
O: 0.3800 0.3800 0.6417
O: 0.1165 0.1165 0.8875

#two
Here is an optimized crystal structure of Li3NbO4 from OQMD. Energies are from PBE-GGA.

## Properties
Space group   Pmn2_1

abc: 6.4241 5.5388 4.9022
angles: 90.00 90.00 90.00
Positions (direct):
Li: 0.2463 0.6622 0.4870
Li: 0.7537 0.6622 0.4870
Li: 0.5000 0.1821 0.4883
Li: 0.2537 0.3378 0.9870
Li: 0.7463 0.3378 0.9870
Li: 0.0000 0.8179 0.9883
Nb: 0.0000 0.1653 0.4943
Nb: 0.5000 0.8347 0.9943
O: 0.5000 0.8345 0.3783
O: 0.2409 0.3286 0.3828
O: 0.7591 0.3286 0.3828
O: 0.0000 0.8429 0.3836
O: 0.0000 0.1655 0.8783
O: 0.2591 0.6714 0.8828
O: 0.7409 0.6714 0.8828
O: 0.5000 0.1571 0.8836

Of them, #one has the lowest stability.

#one
Here is an optimized crystal structure of Li3NbO4 from OQMD. Energies are from PBE-GGA.

## Properties
Space group   P2/c

abc: 5.1289 6.0048 5.1470
angles: 90.00 109.27 90.00
Positions (direct):
Li: 0.5000 0.1319 0.2500
Li: 0.0000 0.3711 0.2500
Li: 0.5000 0.5978 0.2500
Li: 0.5000 0.4022 0.7500
Li: 0.0000 0.6289 0.7500
Li: 0.5000 0.8681 0.7500
Nb: 0.0000 0.8405 0.2500
Nb: 0.0000 0.1595 0.7500
O: 0.2293 0.8876 0.0034
O: 0.7554 0.6328 0.0132
O: 0.2446 0.6328 0.4868
O: 0.7707 0.8876 0.4966
O: 0.2293 0.1124 0.5034
O: 0.7554 0.3672 0.5132
O: 0.2446 0.3672 0.9868
O: 0.7707 0.1124 0.9966

#two
Here is an optimized crystal structure of Li3NbO4 from OQMD. Energies are from PBE-GGA.

## Properties
Space group   Pmn2_1

abc: 6.5104 5.6073 4.9629
angles: 90.00 90.00 90.00
Positions (direct):
Li: 0.5000 0.1817 0.0108
Li: 0.2466 0.6619 0.0123
Li: 0.7534 0.6619 0.0123
Li: 0.0000 0.8183 0.5108
Li: 0.2534 0.3381 0.5123
Li: 0.7466 0.3381 0.5123
Nb: 0.0000 0.1646 0.0054
Nb: 0.5000 0.8354 0.5054
O: 0.0000 0.8443 0.1156
O: 0.2381 0.3260 0.1163
O: 0.7619 0.3260 0.1163
O: 0.5000 0.8339 0.1263
O: 0.5000 0.1557 0.6156
O: 0.2619 0.6740 0.6163
O: 0.7381 0.6740 0.6163
O: 0.0000 0.1661 0.6263

#three
Here is an optimized crystal structure of Li3NbO4 from OQMD. Energies are from PBE-GGA.

## Properties
Space group   P2

abc: 5.0296 12.5601 5.0626
angles: 90.00 104.78 90.00
Positions (direct):
Li: 0.5000 0.1504 0.0000
Li: 0.5000 0.4064 0.0000
Li: 0.0000 0.4982 0.0000
Li: 0.5000 0.5836 0.0000
Li: 0.5000 0.8755 0.0000
Li: 0.5000 0.0194 0.5000
Li: 0.0000 0.1462 0.5000
Li: 0.5000 0.2692 0.5000
Li: 0.0000 0.4054 0.5000
Li: 0.5000 0.4824 0.5000
Li: 0.0000 0.5836 0.5000
Li: 0.5000 0.7163 0.5000
Nb: 0.0000 0.0216 0.0000
Nb: 0.0000 0.2806 0.0000
Nb: 0.0000 0.7248 0.0000
Nb: 0.0000 0.8720 0.5000
O: 0.2254 0.8782 0.2299
O: 0.7727 0.2315 0.2318
O: 0.2412 0.6390 0.2346
O: 0.2464 0.1108 0.2373
O: 0.2473 0.3668 0.2447
O: 0.7504 0.5014 0.2505
O: 0.7643 0.7667 0.2583
O: 0.7697 0.9878 0.2607
O: 0.2303 0.9878 0.7393
O: 0.2357 0.7667 0.7417
O: 0.2496 0.5014 0.7495
O: 0.7527 0.3668 0.7553
O: 0.7536 0.1108 0.7627
O: 0.7588 0.6390 0.7654
O: 0.2273 0.2315 0.7682
O: 0.7746 0.8782 0.7701

Of them, #three has the lowest stability.